[1]
DFT (PBE) results for a relaxed structure of CeGdYTl.

The structure belongs to space group F-43m (No. 216); the cell edges are 7.694, 7.694 and 7.694 Å and the angles 90.00°, 90.00° and 90.00°. The distinct sites, in fractional coordinates, are Ce at (0.000, 0.000, 0.000), Gd at (0.250, 0.250, 0.250), Y at (0.250, 0.250, 0.750) and Tl at (0.000, 0.000, 0.500).

As for the calculated formation energy: 0.6 kJ per mole of atoms. The crystal system is cubic. The total magnetic moment comes out at 30.6 μB per cell.


[2]
DFT (PBE) results for a relaxed structure of LiAc4Ir2.

The structure belongs to space group C2/m (No. 12); the cell edges are 14.558, 9.948 and 8.825 Å and the angles 90.00°, 127.32° and 90.00°. The distinct sites, in fractional coordinates, are Li at (0.001, 0.000, 0.250), Ac at (0.001, 0.305, 0.752), Ac at (0.243, 0.000, 0.276), Ac at (0.243, 0.000, 0.710), Ir at (0.000, 0.500, 0.000), Ir at (0.000, 0.500, 0.500) and Ir at (0.250, 0.250, 0.500).

As for the calculated formation energy: -34.4 kJ per mole of atoms. The crystal system is monoclinic. The total magnetic moment comes out at 0.0 μB per cell.


[3]
DFT (PBE) results for a relaxed structure of TaSb2Ru.

The structure belongs to space group Pmm2 (No. 25); the cell edges are 3.177, 4.999 and 4.831 Å and the angles 90.00°, 90.00° and 90.00°. The distinct sites, in fractional coordinates, are Ta at (0.000, 0.000, 0.000), Sb at (0.000, 0.500, 0.267), Sb at (0.500, 0.000, 0.519) and Ru at (0.500, 0.500, 0.786).

The crystal system is orthorhombic. The total magnetic moment comes out at 0.0 μB per cell. The raw formation energy comes out at 0.0998 eV per atom.


[4]
DFT (PBE) results for a relaxed structure of Er3Mg5Cd2.

The structure belongs to space group Ibam (No. 72); the cell edges are 12.297, 13.650 and 6.177 Å and the angles 90.00°, 90.00° and 90.00°. The distinct sites, in fractional coordinates, are Er at (0.000, 0.000, 0.250), Er at (0.125, 0.238, 0.000), Mg at (0.000, 0.500, 0.250), Mg at (0.119, 0.349, 0.500), Mg at (0.245, 0.500, 0.250) and Cd at (0.139, 0.151, 0.500).

As for the calculated formation energy: 1.3 kJ per mole of atoms. The crystal system is orthorhombic. The total magnetic moment comes out at 0.0 μB per cell.